1.
VASP calculation (PBE-GGA) on KCu2Mo after structural relaxation.

Values from the calculation:
formation energy	0.7273	eV/atom
N(E_F)	1.73	states/eV/cell
energy relative to the lowest polymorph listed for this composition	154.4	meV/atom

Cell lengths 2.6320, 4.2862, 7.1336 Å; angles 90.00, 92.29, 90.00 degrees
Closest atoms and distances in Å follow each position.
Space group Pm (No. 6)
Unique sites:
K 0.0000 0.0000 0.0000 (multiplicity 1)  2 K 2.63
Cu 0.4482 0.0000 0.5008 (multiplicity 1)  4 Cu 2.57-2.63, 4 Mo 2.64-2.65
Cu 0.4673 0.5000 0.6995 (multiplicity 1)  4 Cu 2.57-2.63, 2 Mo 2.59
Mo 0.9344 0.5000 0.3862 (multiplicity 1)  6 Cu 2.59-2.65, 2 Mo 2.63


2.
VASP calculation (PBE-GGA) on KUFeSe3 after structural relaxation.

Values from the calculation:
N(E_F)	12.42	states/eV/cell
ΔE_f (raw)	-0.936	eV per atom

Cell lengths 9.2755, 4.0096, 9.5645 Å; angles 90.00, 109.25, 90.00 degrees
Closest atoms and distances in Å follow each position.
Space group P2_1/m (No. 11)
Unique sites:
K 0.2021 0.2500 0.2390 (multiplicity 2)  7 Se 3.36-3.50
U 0.3243 0.7500 0.8407 (multiplicity 2)  6 Se 2.82-2.87
Fe 0.0603 0.2500 0.5824 (multiplicity 2)  4 Se 2.41-2.60, 2 Fe 2.57
Se 0.1125 0.2500 0.8538 (multiplicity 2)  1 Fe 2.48
Se 0.2133 0.7500 0.5286 (multiplicity 2)  3 Fe 2.41-2.60
Se 0.4549 0.7500 0.1582 (multiplicity 2)  3 U 2.86-2.87


3.
VASP calculation (PBE-GGA) on Sm3In4Hg2 after structural relaxation.

Values from the calculation:
formation energy	-0.4167	eV/atom
N(E_F)	4.68	states/eV/cell
energy relative to the lowest polymorph listed for this composition	34.4	meV/atom

Cell lengths 7.8544, 7.8544, 4.4774 Å; angles 90.00, 90.00, 120.00 degrees
Closest atoms and distances in Å follow each position.
Space group P-62m (No. 189)
Unique sites:
Sm 0.0000 0.4050 0.0000 (multiplicity 3)  3 In 3.18-3.46, 4 Hg 3.27
In 0.0000 0.0000 0.0000 (multiplicity 1)  6 In 3.02, 3 Sm 3.18
In 0.0000 0.7413 0.5000 (multiplicity 3)  2 Hg 2.96, 2 In 3.02
Hg 0.3333 0.6667 0.5000 (multiplicity 2)  3 In 2.96, 6 Sm 3.27


4.
VASP calculation (PBE-GGA) on Dy3Ho4Er after structural relaxation.

Values from the calculation:
formation energy	0.0032	eV/atom
N(E_F)	25.92	states/eV/cell
energy relative to the lowest polymorph listed for this composition	0.0	meV/atom

Cell lengths 11.1455, 7.2130, 6.2364 Å; angles 90.00, 90.00, 90.00 degrees
Closest atoms and distances in Å follow each position.
Space group Pmn2_1 (No. 31)
Unique sites:
Dy 0.0000 0.1255 0.0000 (multiplicity 2)  4 Dy 3.48, 6 Ho 3.48-3.61, 2 Er 3.60-3.61
Dy 0.2500 0.1252 0.3331 (multiplicity 4)  4 Dy 3.48-3.60, 2 Er 3.48, 6 Ho 3.48-3.61
Ho 0.0000 0.3754 0.5006 (multiplicity 2)  6 Ho 3.47-3.60, 4 Dy 3.48-3.61, 2 Er 3.60-3.61
Ho 0.0000 0.6247 0.9998 (multiplicity 2)  6 Ho 3.47-3.60, 4 Dy 3.48-3.61, 2 Er 3.60
Ho 0.2495 0.6248 0.3333 (multiplicity 4)  6 Ho 3.47-3.60, 1 Er 3.47, 5 Dy 3.48-3.61
Er 0.0000 0.8749 0.4999 (multiplicity 2)  6 Ho 3.47-3.61, 6 Dy 3.48-3.61


5.
VASP calculation (PBE-GGA) on Sr5Tl6 after structural relaxation.

Values from the calculation:
formation energy	-0.3093	eV/atom
N(E_F)	12.33	states/eV/cell

Cell lengths 5.7232, 8.0265, 17.0241 Å; angles 90.00, 90.00, 90.00 degrees
Closest atoms and distances in Å follow each position.
Space group Immm (No. 71)
Unique sites:
Sr 0.0000 0.0000 0.0000 (multiplicity 2)  8 Tl 3.45-3.68
Sr 0.0000 0.0000 0.3261 (multiplicity 4)  8 Tl 3.40-3.63
Sr 0.0000 0.5000 0.3382 (multiplicity 4)  8 Tl 3.59-3.61, 6 Sr 3.97-4.02
Tl 0.0000 0.2112 0.5000 (multiplicity 4)  1 Tl 3.39, 6 Sr 3.41-3.68
Tl 0.0000 0.2736 0.1561 (multiplicity 8)  7 Sr 3.40-3.63, 1 Tl 3.63


6.
VASP calculation (PBE-GGA) on AlIn2Pd5 after structural relaxation.

Values from the calculation:
formation energy	-0.6254	eV/atom
N(E_F)	7.38	states/eV/cell

Cell lengths 5.6235, 11.0710, 4.2142 Å; angles 90.00, 90.00, 90.00 degrees
Closest atoms and distances in Å follow each position.
Space group Pbam (No. 55)
Unique sites:
Al 0.0000 0.0000 0.0000 (multiplicity 2)  8 Pd 2.58-2.81
In 0.1670 0.3553 0.5000 (multiplicity 4)  10 Pd 2.76-2.93
Pd 0.0000 0.5000 0.0000 (multiplicity 2)  4 In 2.81, 2 Al 2.81, 6 Pd 2.97-2.98
Pd 0.0684 0.7663 0.0000 (multiplicity 4)  1 Al 2.62, 4 In 2.76-2.83, 2 Pd 2.83
Pd 0.1804 0.0990 0.5000 (multiplicity 4)  2 Al 2.58, 3 In 2.78-2.84


7.
VASP calculation (PBE-GGA) on TaSeBr2F after structural relaxation.

Values from the calculation:
N(E_F)	3.12	states/eV/cell
energy relative to the lowest polymorph listed for this composition	1071.9	meV/atom
ΔE_f (raw)	0.634	eV per atom

Cell lengths 5.2708, 5.2708, 3.8908 Å; angles 90.00, 90.00, 90.00 degrees
Closest atoms and distances in Å follow each position.
Space group P4/mmm (No. 123)
Unique sites:
Ta 0.0000 0.0000 0.0000 (multiplicity 1)  8 Br 3.28
Se 0.5000 0.5000 0.0000 (multiplicity 1)  2 F 1.95
Br 0.0000 0.5000 0.5000 (multiplicity 2)  2 F 2.64
F 0.5000 0.5000 0.5000 (multiplicity 1)  2 Se 1.95


8.
VASP calculation (PBE-GGA) on ThZnH8Ru2 after structural relaxation.

Values from the calculation:
N(E_F)	3.62	states/eV/cell
E_tot	-0.324	Ry/atom

Cell lengths 4.7247, 4.7247, 6.4502 Å; angles 90.00, 90.00, 120.00 degrees
Closest atoms and distances in Å follow each position.
Space group P-3m1 (No. 164)
Unique sites:
Th 0.0000 0.0000 0.0000 (multiplicity 1)  6 H 2.20
Zn 0.0000 0.0000 0.5000 (multiplicity 1)  6 H 1.78
H 0.1409 0.2817 0.2902 (multiplicity 6)  1 Ru 1.61, 1 Zn 1.78
H 0.3333 0.6667 0.0840 (multiplicity 2)  1 Ru 1.66
Ru 0.3333 0.6667 0.3413 (multiplicity 2)  4 H 1.61-1.66


9.
VASP calculation (PBE-GGA) on Y5Al3Pd12 after structural relaxation.

Values from the calculation:
formation energy	-0.3263	eV/atom
N(E_F)	73.87	states/eV/cell

Cell lengths 15.3663, 15.3663, 15.3663 Å; angles 90.00, 90.00, 90.00 degrees
Closest atoms and distances in Å follow each position.
Space group Ia-3d (No. 230)
Unique sites:
Y 0.0000 0.0000 0.0000 (multiplicity 16)  6 Pd 2.70
Y 0.0000 0.2500 0.3750 (multiplicity 24)  4 Pd 2.75
Al 0.0000 0.2500 0.1250 (multiplicity 24)  4 Pd 2.42
Pd 0.0128 0.0945 0.6480 (multiplicity 96)  1 Al 2.42, 1 Pd 2.67, 1 Y 2.70


10.
VASP calculation (PBE-GGA) on InRuPb after structural relaxation.

Values from the calculation:
formation energy	0.2465	eV/atom
N(E_F)	4.51	states/eV/cell
energy relative to the lowest polymorph listed for this composition	117.1	meV/atom

Cell lengths 3.2639, 3.2639, 12.6255 Å; angles 90.00, 90.00, 90.00 degrees
Closest atoms and distances in Å follow each position.
Space group I4mm (No. 107)
Unique sites:
In 0.0000 0.0000 0.0000 (multiplicity 2)  4 Ru 2.77
Ru 0.0000 0.0000 0.3788 (multiplicity 2)  4 In 2.77, 4 Pb 2.94
Pb 0.0000 0.0000 0.7348 (multiplicity 2)  4 Ru 2.94, 4 Pb 3.26


11.
VASP calculation (PBE-GGA) on GaCu3Ni after structural relaxation.

Values from the calculation:
formation energy	0.0616	eV/atom
N(E_F)	4.56	states/eV/cell
energy relative to the lowest polymorph listed for this composition	132.9	meV/atom

Cell lengths 7.7543, 4.9377, 3.9912 Å; angles 90.00, 120.27, 90.00 degrees
Closest atoms and distances in Å follow each position.
Space group Cm (No. 8)
Unique sites:
Ga 0.0000 0.0000 0.0000 (multiplicity 2)  6 Cu 2.45-2.56, 2 Ni 2.55
Cu 0.2347 0.0000 0.7360 (multiplicity 2)  1 Ni 2.41, 2 Ga 2.52-2.56, 6 Cu 2.53-2.60
Cu 0.4100 0.2379 0.4097 (multiplicity 4)  5 Cu 2.35-2.60, 2 Ga 2.45-2.46, 2 Ni 2.48-2.61
Ni 0.0944 0.5000 0.0858 (multiplicity 2)  7 Cu 2.41-2.64, 2 Ga 2.55


12.
VASP calculation (PBE-GGA) on Hf2TcBi after structural relaxation.

Values from the calculation:
formation energy	0.6071	eV/atom
N(E_F)	15.07	states/eV/cell

Cell lengths 4.2647, 4.2647, 19.8299 Å; angles 90.00, 90.00, 90.00 degrees
Closest atoms and distances in Å follow each position.
Space group I-42d (No. 122)
Unique sites:
Hf 0.2450 0.2500 0.1250 (multiplicity 8)  2 Tc 2.89, 2 Bi 2.91, 4 Hf 2.99-3.05
Tc 0.0000 0.0000 0.0000 (multiplicity 4)  4 Hf 2.89, 4 Bi 3.02
Bi 0.0000 0.0000 0.5000 (multiplicity 4)  4 Hf 2.91, 4 Tc 3.02


13.
VASP calculation (PBE-GGA) on Y4Mn2Zn after structural relaxation.

Values from the calculation:
formation energy	0.4403	eV/atom
N(E_F)	12.79	states/eV/cell

Cell lengths 5.4735, 5.4735, 13.2878 Å; angles 90.00, 90.00, 90.00 degrees
Closest atoms and distances in Å follow each position.
Space group I4/mmm (No. 139)
Unique sites:
Y 0.0000 0.0000 0.2108 (multiplicity 4)  1 Mn 2.67, 1 Zn 2.80
Y 0.0000 0.5000 0.0000 (multiplicity 4)  2 Zn 2.74, 4 Mn 2.98
Mn 0.0000 0.0000 0.4115 (multiplicity 4)  1 Mn 2.35
Zn 0.0000 0.0000 0.0000 (multiplicity 2)  6 Y 2.74-2.80


14.
VASP calculation (PBE-GGA) on MnAlP2S after structural relaxation.

Values from the calculation:
N(E_F)	3.23	states/eV/cell
energy relative to the lowest polymorph listed for this composition	0.0	meV/atom
ΔE_f (raw)	0.344	eV per atom

Cell lengths 4.1838, 4.1838, 5.2172 Å; angles 90.00, 90.00, 90.00 degrees
Closest atoms and distances in Å follow each position.
Space group P4/mmm (No. 123)
Unique sites:
Mn 0.0000 0.0000 0.0000 (multiplicity 1)  4 P 2.09
Al 0.5000 0.5000 0.5000 (multiplicity 1)  4 S 2.96
P 0.0000 0.5000 0.0000 (multiplicity 2)  2 Mn 2.09
S 0.0000 0.0000 0.5000 (multiplicity 1)  2 Mn 2.61


15.
VASP calculation (PBE-GGA) on La4AsSBr2 after structural relaxation.

Values from the calculation:
N(E_F)	4.55	states/eV/cell
ΔE_f (raw)	-1.648	eV per atom

Cell lengths 7.3828, 4.2873, 7.6766 Å; angles 90.00, 108.98, 90.00 degrees
Closest atoms and distances in Å follow each position.
Space group P2/m (No. 10)
Unique sites:
La 0.2259 0.0000 0.2109 (multiplicity 2)  2 S 2.87, 1 As 2.97, 1 Br 3.18
La 0.2489 0.5000 0.7834 (multiplicity 2)  1 S 2.85, 2 As 2.97, 2 Br 3.18
As 0.5000 0.0000 0.0000 (multiplicity 1)  6 La 2.97
S 0.0000 0.5000 0.0000 (multiplicity 1)  6 La 2.85-2.87
Br 0.0000 0.0000 0.5000 (multiplicity 1)  6 La 3.18
Br 0.5000 0.5000 0.5000 (multiplicity 1)  6 La 3.27-3.29


16.
VASP calculation (PBE-GGA) on InTc2Ru2 after structural relaxation.

Values from the calculation:
formation energy	0.2129	eV/atom
N(E_F)	7.40	states/eV/cell
energy relative to the lowest polymorph listed for this composition	0.0	meV/atom

Cell lengths 7.5929, 7.5929, 2.8007 Å; angles 90.00, 90.00, 90.00 degrees
Closest atoms and distances in Å follow each position.
Space group P4/mbm (No. 127)
Unique sites:
In 0.0000 0.0000 0.0000 (multiplicity 2)  2 In 2.80, 4 Tc 3.02
Tc 0.1202 0.3798 0.0000 (multiplicity 4)  3 Tc 2.58-2.80, 6 Ru 2.61-2.68
Ru 0.1667 0.6667 0.5000 (multiplicity 4)  6 Tc 2.61-2.68, 2 Ru 2.80


17.
VASP calculation (PBE-GGA) on BaCrFeNi2 after structural relaxation.

Values from the calculation:
formation energy	0.6565	eV/atom
N(E_F)	3.54	states/eV/cell

Cell lengths 4.6896, 4.6896, 4.2616 Å; angles 90.00, 90.00, 90.00 degrees
Closest atoms and distances in Å follow each position.
Space group P4/mmm (No. 123)
Unique sites:
Ba 0.0000 0.0000 0.0000 (multiplicity 1)  8 Ni 3.17, 4 Cr 3.32
Cr 0.5000 0.5000 0.0000 (multiplicity 1)  2 Fe 2.13
Fe 0.5000 0.5000 0.5000 (multiplicity 1)  2 Cr 2.13, 4 Ni 2.34
Ni 0.0000 0.5000 0.5000 (multiplicity 2)  2 Fe 2.34


18.
VASP calculation (PBE-GGA) on BeSiCl2 after structural relaxation.

Values from the calculation:
N(E_F)	1.01	states/eV/cell
energy relative to the lowest polymorph listed for this composition	604.4	meV/atom
ΔE_f (raw)	0.236	eV per atom

Cell lengths 2.8795, 2.8795, 11.8756 Å; angles 90.00, 90.00, 90.00 degrees
Closest atoms and distances in Å follow each position.
Space group P4/mmm (No. 123)
Unique sites:
Be 0.0000 0.0000 0.0000 (multiplicity 1)  8 Cl 2.48
Si 0.0000 0.0000 0.5000 (multiplicity 1)  4 Si 2.88
Cl 0.5000 0.5000 0.1195 (multiplicity 2)  4 Be 2.48


19.
VASP calculation (PBE-GGA) on ErNiIr2 after structural relaxation.

Values from the calculation:
formation energy	-0.4995	eV/atom
N(E_F)	16.66	states/eV/cell

Cell lengths 6.8662, 5.5582, 7.2245 Å; angles 90.00, 90.00, 90.00 degrees
Closest atoms and distances in Å follow each position.
Space group Pnc2 (No. 30)
Unique sites:
Er 0.2439 0.1299 0.0000 (multiplicity 4)  8 Ir 2.95-3.19, 4 Ni 2.98-3.14
Ni 0.1327 0.6430 0.8652 (multiplicity 4)  1 Ni 2.42, 5 Ir 2.47-2.65
Ir 0.0000 0.0000 0.6798 (multiplicity 2)  4 Ni 2.56-2.57, 2 Ir 2.60
Ir 0.3590 0.6473 0.1536 (multiplicity 4)  2 Ni 2.47-2.60, 4 Ir 2.54-2.64
Ir 0.5000 0.0000 0.3335 (multiplicity 2)  4 Ir 2.54-2.64, 2 Ni 2.65


20.
VASP calculation (PBE-GGA) on HoZrRuRh after structural relaxation.

Values from the calculation:
formation energy	-0.6778	eV/atom
N(E_F)	8.91	states/eV/cell
energy relative to the lowest polymorph listed for this composition	41.9	meV/atom

Cell lengths 6.6817, 6.6817, 6.6817 Å; angles 90.00, 90.00, 90.00 degrees
Closest atoms and distances in Å follow each position.
Space group F-43m (No. 216)
Unique sites:
Ho 0.0000 0.0000 0.0000 (multiplicity 4)  4 Rh 2.89, 4 Ru 2.89
Zr 0.0000 0.0000 0.5000 (multiplicity 4)  4 Ru 2.89, 4 Rh 2.89
Ru 0.2500 0.2500 0.7500 (multiplicity 4)  4 Zr 2.89, 4 Ho 2.89
Rh 0.2500 0.2500 0.2500 (multiplicity 4)  4 Zr 2.89, 4 Ho 2.89